# 1
Crystalline Zr2ScTc at its relaxed geometry, computed with GGA-PBE.

Computed properties:
M_tot, Bohr magnetons per cell: 0.00
Calculated total energy, eV/atom: -8.513
Fermi-level density of states, states/eV per atom: 0.8820

Cell and atoms, written as POSCAR:
```
Zr2ScTc
1.0
-2.730 -0.253 -3.956
-1.529 -4.364 1.336
-2.609 1.437 1.709
Zr Sc Tc
2 1 1
direct
0.000 0.000 0.000 Zr
0.500 0.500 0.000 Zr
0.500 0.000 0.500 Sc
0.000 0.500 0.500 Tc
```

# 2
Crystalline Zr2Sc2Tc at its relaxed geometry, computed with GGA-PBE.

Computed properties:
M_tot, Bohr magnetons per cell: 0.00
Calculated total energy, eV/atom: -7.957
Fermi-level density of states, states/eV per atom: 1.2928

Cell and atoms, written as POSCAR:
```
Zr2Sc2Tc
1.0
6.713 0.000 0.000
0.000 6.713 0.000
0.000 0.000 5.011
Zr Tc Sc
4 2 4
direct
0.350 0.850 0.000 Zr
0.850 0.650 0.000 Zr
0.650 0.150 0.000 Zr
0.150 0.350 0.000 Zr
0.500 0.500 0.000 Tc
0.000 0.000 0.000 Tc
0.332 0.168 0.500 Sc
0.168 0.668 0.500 Sc
0.832 0.332 0.500 Sc
0.668 0.832 0.500 Sc
```

# 3
Crystalline Zr2ScTc at its relaxed geometry, computed with GGA-PBE.

Computed properties:
M_tot, Bohr magnetons per cell: 0.00
Calculated total energy, eV/atom: -8.648
Fermi-level density of states, states/eV per atom: 0.8594

Cell and atoms, written as POSCAR:
```
Zr2ScTc
1.0
-2.973 -0.884 4.915
-1.455 -3.806 4.144
2.650 0.307 4.054
Tc Zr Sc
1 2 1
direct
0.254 0.254 0.245 Tc
0.748 0.748 0.752 Zr
0.963 0.963 0.038 Zr
0.535 0.535 0.465 Sc
```